VASP calculation (PBE) on ScBeInCu after structural relaxation.

Values from the calculation:
Its symmetry is F-43m (216). The energy above the most stable polymorph in this dataset comes out at 177 meV per atom.

Unit cell a=4.521 b=4.521 c=4.521 alpha=60.00 beta=60.00 gamma=60.00
Element x y z (fractional)
1 Be 0.500 0.500 0.500
2 Cu 0.250 0.250 0.250
3 In 0.000 0.000 0.000
4 Sc 0.750 0.750 0.750


VASP calculation (PBE) on NaFeNi after structural relaxation.

Values from the calculation:
Its symmetry is F-43m (216). The energy above the most stable polymorph in this dataset comes out at 521 meV per atom.

Unit cell a=4.196 b=4.196 c=4.196 alpha=60.00 beta=60.00 gamma=60.00
Element x y z (fractional)
1 Fe 0.250 0.250 0.250
2 Na 0.000 0.000 0.000
3 Ni 0.750 0.750 0.750


VASP calculation (PBE) on TaBeFeBi after structural relaxation.

Values from the calculation:
Its symmetry is F-43m (216). The energy above the most stable polymorph in this dataset comes out at 191 meV per atom.

Unit cell a=4.516 b=4.516 c=4.516 alpha=60.00 beta=60.00 gamma=60.00
Element x y z (fractional)
1 Be 0.500 0.500 0.500
2 Bi 0.000 0.000 0.000
3 Fe 0.750 0.750 0.750
4 Ta 0.250 0.250 0.250


VASP calculation (PBE) on PuSiBi after structural relaxation.

Values from the calculation:
Its symmetry is F-43m (216). The energy above the most stable polymorph in this dataset comes out at 185 meV per atom.

Unit cell a=5.008 b=5.008 c=5.008 alpha=60.00 beta=60.00 gamma=60.00
Element x y z (fractional)
1 Bi 0.750 0.750 0.750
2 Pu 0.000 0.000 0.000
3 Si 0.250 0.250 0.250


VASP calculation (PBE) on LuSb2 after structural relaxation.

Values from the calculation:
Its symmetry is Fd-3m (227).

Unit cell a=9.398 b=9.398 c=9.398 alpha=60.00 beta=60.00 gamma=60.00
Element x y z (fractional)
1 Lu 0.125 0.125 0.125
2 Lu 0.875 0.875 0.875
3 Sb 0.000 0.000 0.000
4 Sb 0.500 0.000 0.000
5 Sb 0.000 0.500 0.000
6 Sb 0.000 0.000 0.500


VASP calculation (PBE) on YHoMg6 after structural relaxation.

Values from the calculation:
Its symmetry is P4/mmm (123). The energy above the most stable polymorph in this dataset comes out at 0 meV per atom.

Unit cell a=5.168 b=5.168 c=7.310 alpha=90.00 beta=90.00 gamma=90.00
Element x y z (fractional)
1 Ho 0.500 0.500 0.500
2 Mg 0.500 0.500 0.000
3 Mg 0.500 0.000 0.251
4 Mg 0.000 0.500 0.251
5 Mg 0.000 0.000 0.500
6 Mg 0.500 0.000 0.749
7 Mg 0.000 0.500 0.749
8 Y 0.000 0.000 0.000


VASP calculation (PBE) on Y2Ir2W3 after structural relaxation.

Values from the calculation:
The formation energy comes out at 0.451 eV per atom. Its symmetry is R3m (160).

Unit cell a=7.834 b=7.834 c=7.834 alpha=33.92 beta=33.92 gamma=33.92
Element x y z (fractional)
1 Ir 0.493 0.493 0.493
2 Ir 0.998 0.998 0.998
3 W 0.372 0.372 0.372
4 W 0.631 0.631 0.631
5 W 0.881 0.881 0.881
6 Y 0.238 0.238 0.238
7 Y 0.761 0.761 0.761


VASP calculation (PBE) on AlTlCuAu after structural relaxation.

Values from the calculation:
Its symmetry is F-43m (216). The energy above the most stable polymorph in this dataset comes out at 0 meV per atom.

Unit cell a=4.707 b=4.707 c=4.707 alpha=60.00 beta=60.00 gamma=60.00
Element x y z (fractional)
1 Al 0.500 0.500 0.500
2 Au 0.750 0.750 0.750
3 Cu 0.000 0.000 0.000
4 Tl 0.250 0.250 0.250


VASP calculation (PBE) on ZrBeO3 after structural relaxation.

Values from the calculation:
Its symmetry is P4mm (99).

Unit cell a=3.326 b=3.326 c=4.223 alpha=90.00 beta=90.00 gamma=90.00
Element x y z (fractional)
1 Be 0.500 0.500 0.424
2 O 0.500 0.000 0.303
3 O 0.000 0.500 0.303
4 O 0.500 0.500 0.806
5 Zr 0.000 0.000 0.998


VASP calculation (PBE) on SmIr after structural relaxation.

Values from the calculation:
The formation energy comes out at -0.360 eV per atom. Its symmetry is Fm-3m (225).

Unit cell a=4.081 b=4.081 c=4.081 alpha=60.00 beta=60.00 gamma=60.00
Element x y z (fractional)
1 Ir 0.000 0.000 0.000
2 Sm 0.500 0.500 0.500


VASP calculation (PBE) on Sc2NiIr after structural relaxation.

Values from the calculation:
The formation energy comes out at -0.809 eV per atom. Its symmetry is Pnnm (58). The energy above the most stable polymorph in this dataset comes out at 0 meV per atom.

Unit cell a=4.534 b=6.382 c=13.603 alpha=90.00 beta=90.00 gamma=90.00
Element x y z (fractional)
1 Ir 0.000 0.500 0.000
2 Ir 0.499 0.000 0.167
3 Ir 0.999 0.500 0.333
4 Ir 0.500 0.000 0.500
5 Ir 0.001 0.500 0.667
6 Ir 0.501 0.000 0.833
7 Ni 0.000 0.000 0.000
8 Ni 0.499 0.500 0.167
9 Ni 0.999 0.000 0.333
10 Ni 0.500 0.500 0.500
11 Ni 0.001 0.000 0.667
12 Ni 0.501 0.500 0.833
13 Sc 0.500 0.250 0.000
14 Sc 0.500 0.750 0.000
15 Sc 0.999 0.250 0.167
16 Sc 0.999 0.750 0.167
17 Sc 0.499 0.250 0.333
18 Sc 0.499 0.750 0.333
19 Sc 0.000 0.250 0.500
20 Sc 0.000 0.750 0.500
21 Sc 0.501 0.250 0.667
22 Sc 0.501 0.750 0.667
23 Sc 0.001 0.250 0.833
24 Sc 0.001 0.750 0.833


VASP calculation (PBE) on ErTmZr2Ge2 after structural relaxation.

Values from the calculation:
Its symmetry is P4mm (99).

Unit cell a=4.169 b=4.169 c=7.826 alpha=90.00 beta=90.00 gamma=90.00
Element x y z (fractional)
1 Er 0.000 0.000 0.348
2 Ge 0.500 0.500 0.266
3 Ge 0.000 0.000 0.733
4 Tm 0.500 0.500 0.653
5 Zr 0.500 0.000 0.000
6 Zr 0.000 0.500 0.000


| no. | total DFT energy (no corrections) (eV per atom) | mass density (Mg/m³) |
| --- | --- | --- |
| 1 | -4.0970 | 5.90 |
| 2 | -3.6475 | 4.37 |
| 3 | -6.1837 | 11.59 |
| 4 | -7.6902 | 8.99 |
| 5 | -3.5957 | 2.37 |
| 6 | -2.6163 | 3.40 |
| 7 | -9.4801 | 13.86 |
| 8 | -3.1077 | 11.08 |
| 9 | -8.0953 | 5.27 |
| 10 | -7.1430 | 11.84 |
| 11 | -7.5786 | 8.63 |
| 12 | -6.6026 | 8.11 |